{"formula": "CdPt2Cl", "functional": "PBE", "state": "optimized geometry", "dos_at_fermi_per_ev_fu": 2.17, "final_energy_ev_per_cell": -14.51, "e_form_raw_mev_per_atom": 84, "space_group": "P2/m", "relative_energy_ev_per_atom": 0.124, "total_magnetization_mub_per_fu": 0.000, "lattice_angstrom": [[-3.095, -3.452, -1.953], [2.132, -0.818, -1.932], [1.614, -3.203, 3.103]], "species": ["Pt", "Cd", "Cl", "Pt"], "fractional_positions": [[0.000, 0.505, 0.497], [0.500, 0.250, 0.250], [0.500, 0.750, 0.750], [0.000, 0.995, 0.003]]}

=====

{"formula": "CdPt3Cl", "functional": "PBE", "state": "optimized geometry", "dos_at_fermi_per_ev_fu": 2.91, "final_energy_ev_per_cell": -16.86, "e_form_raw_mev_per_atom": 805, "space_group": "Pm-3m", "relative_energy_ev_per_atom": 0.000, "total_magnetization_mub_per_fu": 0.000, "lattice_angstrom": [[-3.723, -2.572, -0.880], [2.051, -1.677, -3.773], [1.785, -3.438, 2.499]], "species": ["Cd", "Pt", "Pt", "Pt", "Cl"], "fractional_positions": [[0.500, 0.500, 0.500], [0.000, 0.000, 0.500], [0.500, 0.000, 0.000], [0.000, 0.500, 0.000], [0.000, 0.000, 0.000]]}

=====

{"formula": "Cd2PtCl", "functional": "PBE", "state": "optimized geometry", "dos_at_fermi_per_ev_fu": 3.01, "final_energy_ev_per_cell": -8.93, "e_form_raw_mev_per_atom": 196, "space_group": "F-43m", "relative_energy_ev_per_atom": 0.618, "total_magnetization_mub_per_fu": 0.000, "lattice_angstrom": [[4.859, 0.000, 0.000], [2.430, 4.208, 0.000], [2.430, 1.403, 3.968]], "species": ["Pt", "Cl", "Cd", "Cd"], "fractional_positions": [[0.250, 0.250, 0.250], [0.500, 0.500, 0.500], [0.750, 0.750, 0.750], [0.000, 0.000, 0.000]]}